*w*
Compound: NaMoP2Cl
Source: Alexandria
Functional: PBE
Structure: relaxed

Results
- Symmetry: P4/mmm, No. 123

abc: 4.757 4.757 4.582
angles: 90.00 90.00 90.00
Fractional positions:
Na: 0.000 0.000 0.000
Mo: 0.500 0.500 0.500
P: 0.000 0.500 0.000
P: 0.500 0.000 0.000
Cl: 0.000 0.000 0.500

*x*
Compound: NaMoP2Cl
Source: Alexandria
Functional: PBE
Structure: relaxed

Results
- Symmetry: P4/mmm, No. 123

abc: 4.634 4.634 5.372
angles: 90.00 90.00 90.00
Fractional positions:
Na: 0.000 0.000 0.000
Mo: 0.500 0.500 0.500
P: 0.000 0.500 0.500
P: 0.500 0.000 0.500
Cl: 0.500 0.500 0.000

Stability check: which of them is most stable? *x*.

*w*
Compound: NaMoPCl2
Source: Alexandria
Functional: PBE
Structure: relaxed

Results
- Symmetry: P4/mmm, No. 123

abc: 4.803 4.803 5.409
angles: 90.00 90.00 90.00
Fractional positions:
Na: 0.000 0.000 0.000
Mo: 0.500 0.500 0.500
P: 0.000 0.000 0.500
Cl: 0.000 0.500 0.000
Cl: 0.500 0.000 0.000

*x*
Compound: NaMoPCl2
Source: Alexandria
Functional: PBE
Structure: relaxed

Results
- Symmetry: P4/mmm, No. 123

abc: 5.093 5.093 4.675
angles: 90.00 90.00 90.00
Fractional positions:
Na: 0.000 0.000 0.000
Mo: 0.500 0.500 0.500
P: 0.500 0.500 0.000
Cl: 0.000 0.500 0.500
Cl: 0.500 0.000 0.500

Stability check: which of them is most stable? *x*.